1.
Entry from the Alexandria database: a relaxed structure of RbTaCd (PBE-GGA).

Properties
Crystal system ... orthorhombic
Energy above the lowest structure with this stoichiometry ... 1.15 eV per formula unit

Cell: 13.738 5.280 5.419 Å, 90.00 90.00 90.00°
Space group Pnma (No. 62)
Asymmetric unit:
Rb (0.250, 0.250, 0.247) x4
Ta (0.000, 0.250, 0.502) x4
Cd (0.000, 0.000, 0.000) x4


2.
Entry from the Alexandria database: a relaxed structure of Ce3PaRu (PBE-GGA).

Properties
Crystal system ... monoclinic

Cell: 3.211 10.591 7.504 Å, 90.00 102.31 90.00°
Space group P2_1/m (No. 11)
Asymmetric unit:
Ce (0.001, 0.250, 0.499) x2
Ce (0.337, 0.514, 0.178) x4
Pa (0.244, 0.750, 0.986) x2
Ru (0.000, 0.000, 0.500) x2


DFT formation energy for every record listed, in sequence, given in meV/atom: 775 64.
M_tot for every record listed, in sequence, given in μB per cell: 0.0 0.7.
Density of states at the Fermi level for every record listed, in sequence, given in states/eV/f.u.: 1.929 12.122.